The following is a PBEsol calculation of a geometry-optimized NbOs2RhAu structure, from the Alexandria database.

Lattice parameters (Å, degrees): 4.6823 4.6823 4.6152 90.00 90.00 90.00
With the nearest neighbours (Å) after each atom.
Element x y z (fractional)
Nb  0.0000  0.0000  0.0000  2 Rh 2.31, 4 Os 2.34
Os  0.0000  0.5000  0.0000  2 Nb 2.34
Os  0.5000  0.0000  0.0000  2 Nb 2.34
Rh  0.0000  0.0000  0.5000  2 Nb 2.31
Au  0.5000  0.5000  0.5000  8 Os 3.29, 4 Rh 3.31

Output
E_form = 2.10 eV/atom
mass density = 12.690 g/cm³
calculated total energy = -7.3582 eV per atom